Entry 1:
SnBi: relaxed, PBE-GGA.

Its calculated total energy is -7.7 eV/f.u. As for the calculated volume: 29.86 A^3/atom. The value obtained for the density of states at the Fermi level is 1.208 states/eV per cell. Its total magnetization is 0.00 μB per cell. Its formation energy is 0.096 eV/atom.

Cell: 3.404 3.404 5.374 Å, 90.00 90.00 106.43°
Element x y z (fractional)
Bi (0.500, 0.500, 0.500)
Sn (0.000, 0.000, 0.000)


Entry 2:
NaPmGd: relaxed, PBE-GGA.

Its calculated total energy is -19.8 eV/f.u. As for the calculated volume: 34.50 A^3/atom. As for the energy above the lowest structure with this stoichiometry: 0.00 kcal/mol of atoms. The value obtained for the density of states at the Fermi level is 3.702 states/eV per cell. Its total magnetization is 7.59 μB per cell. Its formation energy is 0.116 eV/atom.

Cell: 3.593 3.593 9.255 Å, 90.00 90.00 120.00°
Element x y z (fractional)
Na (0.000, 0.000, 0.001)
Gd (0.667, 0.333, 0.348)
Pm (0.333, 0.667, 0.651)


Entry 3:
AcSmHg6: relaxed, PBE-GGA.

Its calculated total energy is -13.7 eV/f.u. As for the calculated volume: 26.74 A^3/atom. The value obtained for the density of states at the Fermi level is 6.387 states/eV per cell. Its total magnetization is 0.00 μB per cell. Its formation energy is -0.382 eV/atom.

Cell: 5.108 6.936 6.936 Å, 119.48 90.00 90.00°
Element x y z (fractional)
Ac (0.500, 0.408, 0.592)
Sm (0.000, 0.092, 0.908)
Hg (0.000, 0.054, 0.396)
Hg (0.000, 0.604, 0.946)
Hg (0.000, 0.588, 0.412)
Hg (0.500, 0.423, 0.096)
Hg (0.500, 0.904, 0.577)
Hg (0.500, 0.926, 0.074)